# 1
Below is DyErIrPb after structural relaxation, with properties calculated at the PBE-GGA level.

a b c (Å): 3.482 3.482 7.998
angles (deg): 90.00 90.00 90.00
Space group P4mm (No. 99)
One atom of each set of equivalent atoms:
Dy  0.000  0.000  0.000 (multiplicity 1)
Er  0.000  0.000  0.592 (multiplicity 1)
Ir  0.500  0.500  0.793 (multiplicity 1)
Pb  0.500  0.500  0.298 (multiplicity 1)

Computed properties:
- Energy: -6.125 eV/atom
- Polymorph energy (0 for the lowest one): 0.000 eV per atom
- Energy relative to the elements: -692 meV/atom

---

# 2
Below is TaRuSe after structural relaxation, with properties calculated at the PBE-GGA level.

a b c (Å): 3.140 3.140 9.883
angles (deg): 90.00 90.00 90.00
Space group I4mm (No. 107)
One atom of each set of equivalent atoms:
Ta  0.000  0.000  0.000 (multiplicity 2)
Ru  0.000  0.000  0.336 (multiplicity 2)
Se  0.000  0.000  0.658 (multiplicity 2)

Computed properties:
- Energy: -8.280 eV/atom
- Polymorph energy (0 for the lowest one): 0.187 eV per atom

---

# 3
Below is Na2SrZn after structural relaxation, with properties calculated at the PBE-GGA level.

a b c (Å): 4.702 4.702 25.240
angles (deg): 90.00 90.00 90.00
Space group I-42d (No. 122)
One atom of each set of equivalent atoms:
Na  0.217  0.250  0.125 (multiplicity 8)
Sr  0.000  0.000  0.500 (multiplicity 4)
Zn  0.000  0.000  0.000 (multiplicity 4)

Computed properties:
- Energy: -1.308 eV/atom
- Energy relative to the elements: 91 meV/atom

---

# 4
Below is BeBiPt3 after structural relaxation, with properties calculated at the PBE-GGA level.

a b c (Å): 7.4468 7.4468 10.7689
angles (deg): 90.00 90.00 120.00
Space group R-3c (No. 167, hexagonal axes)
One atom of each set of equivalent atoms:
Be  0.0000  0.0000  0.2500 (multiplicity 6)
Bi  0.0000  0.0000  0.0000 (multiplicity 6)
Pt  0.0000  0.2951  0.2500 (multiplicity 18)

Computed properties:
- Energy: -5.142 eV/atom
- Polymorph energy (0 for the lowest one): 0.436 eV per atom
- Energy relative to the elements: 4 meV/atom